Model P:
Here is a relaxed structure of BaMg6C from Alexandria via LeMat-Bulk. Energies are from PBE.

Its space-group type is Amm2 (38). The calculation puts the magnetic moment at 0.000 μB/f.u. The calculation puts the theoretical density at 2.3 g/cm³. As for the volume: 216 Å³ per cell.

Unit cell a=3.530 b=10.960 c=10.960 alpha=30.57 beta=90.00 gamma=90.00
Sites, in units of the cell vectors:
Ba  0.000  0.000  0.000
Mg  0.000  0.000  0.492
Mg  0.000  0.492  0.000
Mg  0.500  0.129  0.588
Mg  0.500  0.146  0.146
Mg  0.500  0.588  0.129
Mg  0.500  0.619  0.619
C  0.000  0.331  0.331

---

Model Q:
Here is a relaxed structure of BaMg6C from Alexandria via LeMat-Bulk. Energies are from PBE.

Its space-group type is Amm2 (38). The calculation puts the magnetic moment at 0.000 μB/f.u. The calculation puts the theoretical density at 2.5 g/cm³. As for the volume: 196 Å³ per cell.

Unit cell a=3.519 b=7.984 c=7.984 alpha=60.95 beta=90.00 gamma=90.00
Sites, in units of the cell vectors:
Ba  0.000  0.000  0.000
Mg  0.000  0.051  0.393
Mg  0.000  0.393  0.051
Mg  0.000  0.560  0.560
Mg  0.500  0.216  0.557
Mg  0.500  0.557  0.216
Mg  0.500  0.760  0.760
C  0.500  0.244  0.244

---

Sorted by energy, starting with the most stable: model Q, model P.